# 1
## HfTiNb2N (PBE)

Data for crystalline HfTiNb2N at its relaxed geometry.

Calculated values
* E_form (uncorrected): -0.60 eV per atom

Lattice parameters (Å, degrees): 4.4535 4.4535 4.0330 90.00 90.00 90.00
Sites, in units of the cell vectors:
Nb 0.0000 0.5000 0.0000
Nb 0.5000 0.0000 0.0000
N 0.0000 0.0000 0.0000
Hf 0.5000 0.5000 0.5000
Ti 0.0000 0.0000 0.5000

***

# 2
## CaTl3Co (PBE)

Data for crystalline CaTl3Co at its relaxed geometry.

Calculated values
* energy above the most stable polymorph in this dataset: 0 meV/atom
* formation enthalpy at 0 K: 67 meV/atom

Lattice parameters (Å, degrees): 5.0830 5.0830 5.0830 90.00 90.00 90.00
Sites, in units of the cell vectors:
Tl 0.0000 0.5000 0.0000
Tl 0.0000 0.0000 0.5000
Tl 0.5000 0.0000 0.0000
Co 0.0000 0.0000 0.0000
Ca 0.5000 0.5000 0.5000

***

| no. | V (Å³/f.u.) |
| --- | --- |
| 1 | 80.0 |
| 2 | 131.3 |